DFT (SCAN) results for a PBEsol-optimized structure of CuNiHg2.

```
data_CuNiHg2
_symmetry_space_group_name_H-M 'R 3 m'
_symmetry_Int_Tables_number 160
_symmetry_space_group_name_Hall 'R 3 -2"'
_cell_length_a 2.9471
_cell_length_b 2.9471
_cell_length_c 26.0314
_cell_angle_alpha 90.00
_cell_angle_beta 90.00
_cell_angle_gamma 120.00
loop_
_atom_site_label
_atom_site_fract_x
_atom_site_fract_y
_atom_site_fract_z
_atom_site_occupancy
Cu1 0.0000 0.0000 0.0000 1
Ni1 0.0000 0.0000 0.7328 1
Hg1 0.0000 0.0000 0.2508 1
Hg2 0.0000 0.0000 0.4784 1
```

- E (eV per atom) = -41.562
- V (Å³/atom) = 16.3
- density (g/cm³) = 13.32
- energy of formation from the pure elements (eV/atom) = 0.364



DFT (SCAN) results for a PBEsol-optimized structure of CuNiHg3.

```
data_CuNiHg3
_symmetry_space_group_name_H-M 'P m -3 m'
_symmetry_Int_Tables_number 221
_symmetry_space_group_name_Hall '-P 4 2 3'
_cell_length_a 4.8385
_cell_length_b 4.8385
_cell_length_c 4.8385
_cell_angle_alpha 90.00
_cell_angle_beta 90.00
_cell_angle_gamma 90.00
loop_
_atom_site_label
_atom_site_fract_x
_atom_site_fract_y
_atom_site_fract_z
_atom_site_occupancy
Cu1 0.0000 0.0000 0.0000 1
Ni1 0.5000 0.5000 0.5000 1
Hg1 0.0000 0.5000 0.5000 1
```

- E (eV per atom) = -46.588
- V (Å³/atom) = 22.7
- density (g/cm³) = 10.61
- energy of formation from the pure elements (eV/atom) = 0.586



DFT (SCAN) results for a PBEsol-optimized structure of CuNiHg2.

```
data_CuNiHg2
_symmetry_space_group_name_H-M 'P 4 m m'
_symmetry_Int_Tables_number 99
_symmetry_space_group_name_Hall 'P 4 -2'
_cell_length_a 3.0383
_cell_length_b 3.0383
_cell_length_c 6.8053
_cell_angle_alpha 90.00
_cell_angle_beta 90.00
_cell_angle_gamma 90.00
loop_
_atom_site_label
_atom_site_fract_x
_atom_site_fract_y
_atom_site_fract_z
_atom_site_occupancy
Cu1 0.0000 0.0000 0.0000 1
Ni1 0.5000 0.5000 0.8218 1
Hg1 0.0000 0.0000 0.5839 1
Hg2 0.5000 0.5000 0.2439 1
```

- E (eV per atom) = -41.699
- V (Å³/atom) = 15.7
- density (g/cm³) = 13.84
- energy of formation from the pure elements (eV/atom) = 0.227



DFT (SCAN) results for a PBEsol-optimized structure of Cu2NiHg.

```
data_Cu2NiHg
_symmetry_space_group_name_H-M 'I 4/m m m'
_symmetry_Int_Tables_number 139
_symmetry_space_group_name_Hall '-I 4 2'
_cell_length_a 3.7352
_cell_length_b 3.7352
_cell_length_c 7.5137
_cell_angle_alpha 90.00
_cell_angle_beta 90.00
_cell_angle_gamma 90.00
loop_
_atom_site_label
_atom_site_fract_x
_atom_site_fract_y
_atom_site_fract_z
_atom_site_occupancy
Cu1 0.0000 0.5000 0.2500 1
Ni1 0.0000 0.0000 0.0000 1
Hg1 0.0000 0.0000 0.5000 1
```

- E (eV per atom) = -28.525
- V (Å³/atom) = 13.1
- density (g/cm³) = 12.24
- energy of formation from the pure elements (eV/atom) = 0.160



DFT (SCAN) results for a PBEsol-optimized structure of Cu3NiHgSe4.

```
data_Cu3NiHgSe4
_symmetry_space_group_name_H-M 'P -4 3 m'
_symmetry_Int_Tables_number 215
_symmetry_space_group_name_Hall 'P -4 2 3'
_cell_length_a 5.7065
_cell_length_b 5.7065
_cell_length_c 5.7065
_cell_angle_alpha 90.00
_cell_angle_beta 90.00
_cell_angle_gamma 90.00
loop_
_atom_site_label
_atom_site_fract_x
_atom_site_fract_y
_atom_site_fract_z
_atom_site_occupancy
Cu1 0.0000 0.0000 0.5000 1
Ni1 0.0000 0.0000 0.0000 1
Hg1 0.5000 0.5000 0.5000 1
Se1 0.2329 0.2329 0.2329 1
```

- E (eV per atom) = -23.472
- V (Å³/atom) = 20.6
- density (g/cm³) = 6.84



DFT (SCAN) results for a PBEsol-optimized structure of Cu3Hg2Te6O16.

```
data_Cu3Hg2Te6O16
_symmetry_space_group_name_H-M 'P 4 21 2'
_symmetry_Int_Tables_number 90
_symmetry_space_group_name_Hall 'P 4ab 2ab'
_cell_length_a 8.6082
_cell_length_b 8.6082
_cell_length_c 11.2456
_cell_angle_alpha 90.00
_cell_angle_beta 90.00
_cell_angle_gamma 90.00
loop_
_atom_site_label
_atom_site_fract_x
_atom_site_fract_y
_atom_site_fract_z
_atom_site_occupancy
Cu1 0.0000 0.5000 0.0647 1
Cu2 0.0000 0.5000 0.3225 1
Cu3 0.0000 0.5000 0.6027 1
Hg1 0.1062 0.8938 0.5000 1
Te1 0.1732 0.8268 0.0000 1
Te2 0.1996 0.2129 0.7339 1
O1 0.0900 0.7020 0.3194 1
O2 0.1083 0.7350 0.8346 1
O3 0.1209 0.3118 0.0660 1
O4 0.1557 0.3413 0.5986 1
```

- E (eV per atom) = -19.673
- V (Å³/atom) = 15.4
- density (g/cm³) = 6.43